1.
Computed, not measured: a geometry-optimized K2YGe2O6 structure at the PBE level of DFT.

It has space group C2/m (No. 12), with a = 10.347 Å, b = 6.067 Å, c = 6.945 Å, α = 90.00°, β = 121.33° and γ = 90.00°. Symmetry generates all atoms from K at (0.206, 0.000, 0.169), Y at (0.000, 0.000, 0.500), Ge at (0.051, 0.500, 0.218), O at (0.033, 0.258, 0.760) and O at (0.248, 0.500, 0.359).

For the density of states at the Fermi level, the calculation gives 2.569 states/eV per cell.

***

2.
Computed, not measured: a geometry-optimized K2Y2GeO6 structure at the PBE level of DFT.

It has space group C2/m (No. 12), with a = 5.754 Å, b = 9.871 Å, c = 6.598 Å, α = 90.00°, β = 105.12° and γ = 90.00°. Symmetry generates all atoms from K at (0.000, 0.161, 0.000), Y at (0.000, 0.334, 0.500), Ge at (0.000, 0.000, 0.500), O at (0.197, 0.150, 0.669) and O at (0.234, 0.000, 0.333).

For the density of states at the Fermi level, the calculation gives 0.000 states/eV per cell.

***

3.
Computed, not measured: a geometry-optimized KYGeO4 structure at the PBE level of DFT.

It has space group P2_1/m (No. 11), with a = 5.767 Å, b = 5.892 Å, c = 7.430 Å, α = 90.00°, β = 107.45° and γ = 90.00°. Symmetry generates all atoms from K at (0.183, 0.250, 0.429), Y at (0.298, 0.250, 0.960), Ge at (0.242, 0.750, 0.164), O at (0.034, 0.750, 0.933), O at (0.046, 0.750, 0.306) and O at (0.455, 0.522, 0.181).

For the density of states at the Fermi level, the calculation gives 0.000 states/eV per cell.

***

4.
Computed, not measured: a geometry-optimized K3Y3GeO8 structure at the PBE level of DFT.

It has space group R-3m (No. 166, hexagonal axes), with a = 6.7352 Å, b = 6.7352 Å, c = 18.9039 Å, α = 90.00°, β = 90.00° and γ = 120.00°. Symmetry generates all atoms from K at (0.0000, 0.5000, 0.0000), Y at (0.0000, 0.5000, 0.5000), Ge at (0.0000, 0.0000, 0.5000), O at (0.0000, 0.0000, 0.2273) and O at (0.0402, 0.5201, 0.2233).

For the density of states at the Fermi level, the calculation gives 0.000 states/eV per cell.

***

5.
Computed, not measured: a geometry-optimized KZnGe2O6 structure at the PBE level of DFT.

It has space group C2/c (No. 15), with a = 10.176 Å, b = 11.413 Å, c = 5.153 Å, α = 90.00°, β = 100.84° and γ = 90.00°. Symmetry generates all atoms from K at (0.000, 0.093, 0.250), Zn at (0.000, 0.257, 0.750), Ge at (0.200, 0.415, 0.237), O at (0.080, 0.307, 0.108), O at (0.135, 0.127, 0.749) and O at (0.173, 0.447, 0.564).

***

6.
Computed, not measured: a geometry-optimized KZn2GeO4 structure at the PBE level of DFT.

It has space group I-42m (No. 121), with a = 5.402 Å, b = 5.402 Å, c = 7.756 Å, α = 90.00°, β = 90.00° and γ = 90.00°. Symmetry generates all atoms from K at (0.000, 0.000, 0.000), Zn at (0.000, 0.500, 0.250), Ge at (0.000, 0.000, 0.500) and O at (0.189, 0.189, 0.644).

For the density of states at the Fermi level, the calculation gives 1.091 states/eV per cell.

***

7.
Computed, not measured: a geometry-optimized K2ZrGe2O6 structure at the PBE level of DFT.

It has space group C2/m (No. 12), with a = 10.035 Å, b = 5.885 Å, c = 6.905 Å, α = 90.00°, β = 121.46° and γ = 90.00°. Symmetry generates all atoms from K at (0.211, 0.000, 0.186), Zr at (0.000, 0.000, 0.500), Ge at (0.050, 0.500, 0.204), O at (0.026, 0.252, 0.739) and O at (0.243, 0.000, 0.636).

For the density of states at the Fermi level, the calculation gives 0.000 states/eV per cell.

***

8.
Computed, not measured: a geometry-optimized K2ZrGeO5 structure at the PBE level of DFT.

It has space group Cmc2_1 (No. 36), with a = 3.262 Å, b = 15.468 Å, c = 12.349 Å, α = 90.00°, β = 90.00° and γ = 90.00°. Symmetry generates all atoms from K at (0.000, 0.078, 0.000), K at (0.000, 0.138, 0.684), Zr at (0.000, 0.219, 0.401), Ge at (0.000, 0.433, 0.772), O at (0.000, 0.053, 0.350), O at (0.000, 0.295, 0.002), O at (0.000, 0.318, 0.778), O at (0.000, 0.338, 0.364) and O at (0.000, 0.490, 0.654).

For the density of states at the Fermi level, the calculation gives 0.000 states/eV per cell.

***

Which energy relative to the elements, uncorrected belongs to each record? In order, -2027 -2408 -2371 -2496 -1426 -1372 -2131 -2179 meV per atom.
Which electronic total energy belongs to each record? In order, -139.9 -152.0 -97.2 -313.2 -222.5 -78.1 -146.3 -239.1 eV/cell.